No. 1
Computed, not measured: a relaxed structure of Sr2SiOs at the PBE-GGA level of DFT.

a b c (Å): 4.1366 4.1366 8.7350
angles (deg): 76.52 76.52 59.91
Element x y z (fractional)
Sr 0.9618 0.9618 0.1101
Sr 0.7882 0.7882 0.6401
Si 0.2083 0.2083 0.3753
Os 0.5418 0.5418 0.3745

No. 2
Computed, not measured: a relaxed structure of SrSiOs2 at the PBE-GGA level of DFT.

a b c (Å): 3.0688 4.9732 4.5723
angles (deg): 90.00 90.00 90.00
Element x y z (fractional)
Os 0.0000 0.0000 0.0000
Os 0.5000 0.5000 0.0000
Si 0.5000 0.0000 0.5000
Sr 0.0000 0.5000 0.5000

No. 3
Computed, not measured: a relaxed structure of SrSiOs4 at the PBE-GGA level of DFT.

a b c (Å): 5.3094 5.3094 5.3094
angles (deg): 60.00 60.00 60.00
Element x y z (fractional)
Sr 0.0000 0.0000 0.0000
Si 0.7500 0.7500 0.7500
Os 0.8726 0.3758 0.3758
Os 0.3758 0.3758 0.8726
Os 0.3758 0.8726 0.3758
Os 0.3758 0.3758 0.3758

Number 1: ΔE_f (raw) -0.23 eV/atom, DOS(E_F) 3.75 states/eV per cell. Number 2: ΔE_f (raw) 0.99 eV/atom, DOS(E_F) 3.85 states/eV per cell. Number 3: ΔE_f (raw) 0.74 eV/atom, DOS(E_F) 8.33 states/eV per cell.